(1)
Computed, not measured: a relaxed Tm3NpO6F2 crystal at the PBE-GGA level of DFT.

Computed properties:
The total energy comes out at -0.6171 Ry per atom. The total magnetic moment comes out at 0.17 μB per atom. As for the mass density: 8.1 g cm⁻³. As for the density of states at the Fermi level: 7.24 states/eV/cell. The value obtained for the uncorrected formation energy is -329 kJ/mol of atoms.

abc: 6.7088 6.7088 4.6588
angles: 92.52 92.52 59.21
With the nearest neighbours (Å) after each atom.
Atoms (fractional coordinates):
Tm 0.0000 0.0000 0.0000  4 O 2.25, 2 F 2.33
Tm 0.0000 0.5000 0.5000  4 O 2.16-2.21, 2 F 2.27
Tm 0.5000 0.0000 0.5000  4 O 2.16-2.21, 2 F 2.27
Np 0.5000 0.5000 0.5000  6 O 2.13-2.20
O 0.1715 0.6704 0.7295  1 Np 2.20, 2 Tm 2.21-2.25
O 0.3296 0.8285 0.2705  1 Np 2.20, 2 Tm 2.21-2.25
O 0.3329 0.3329 0.2950  1 Np 2.13, 2 Tm 2.16
O 0.6671 0.6671 0.7050  1 Np 2.13, 2 Tm 2.16
O 0.6704 0.1715 0.7295  1 Np 2.20, 2 Tm 2.21-2.25
O 0.8285 0.3296 0.2705  1 Np 2.20, 2 Tm 2.21-2.25
F 0.1694 0.1694 0.7568  3 Tm 2.27-2.33
F 0.8306 0.8306 0.2432  3 Tm 2.27-2.33

---

(2)
Computed, not measured: a relaxed NpUO6F2 crystal at the PBE-GGA level of DFT.

Computed properties:
The total energy comes out at -0.6105 Ry per atom. The total magnetic moment comes out at 0.10 μB per atom. As for the mass density: 6.3 g cm⁻³. As for the density of states at the Fermi level: 14.70 states/eV/cell. The value obtained for the uncorrected formation energy is -245 kJ/mol of atoms.

abc: 7.3274 7.6080 5.7993
angles: 90.00 90.00 90.00
With the nearest neighbours (Å) after each atom.
Atoms (fractional coordinates):
Np 0.2500 0.2500 0.2379  4 O 1.83-1.94
Np 0.7500 0.7500 0.7621  4 O 1.83-1.94
U 0.2500 0.7500 0.4863  2 O 1.94, 2 F 2.03
U 0.7500 0.2500 0.5137  2 O 1.94, 2 F 2.03
O 0.0599 0.2500 0.4719  1 Np 1.94
O 0.0707 0.2500 0.0185  1 Np 1.83
O 0.2500 0.5572 0.2684  1 U 1.94
O 0.2500 0.9428 0.2684  1 U 1.94
O 0.4293 0.2500 0.0185  1 Np 1.83
O 0.4401 0.2500 0.4719  1 Np 1.94
O 0.5599 0.7500 0.5281  1 Np 1.94
O 0.5707 0.7500 0.9815  1 Np 1.83
O 0.7500 0.0572 0.7316  1 U 1.94
O 0.7500 0.4428 0.7316  1 U 1.94
O 0.9293 0.7500 0.9815  1 Np 1.83
O 0.9401 0.7500 0.5281  1 Np 1.94
F 0.2500 0.5634 0.7372  1 U 2.03
F 0.2500 0.9366 0.7372  1 U 2.03
F 0.7500 0.0634 0.2628  1 U 2.03
F 0.7500 0.4366 0.2628  1 U 2.03

---

Question: What is the formula in the second record?
Answer: NpUO6F2